No. 1
A plane-wave DFT calculation with PBE-GGA was carried out for a relaxed structure of Re2IrPb.

It has space group I4/mmm (No. 139), with a = 3.988 Å, b = 3.988 Å, c = 8.364 Å, α = 90.00°, β = 90.00° and γ = 90.00°. Symmetry generates all atoms from Re at (0.000, 0.500, 0.250), Ir at (0.000, 0.000, 0.000) and Pb at (0.000, 0.000, 0.500).

The density of states at the Fermi level comes out at 10.52 states/eV/cell. The value obtained for the volume is 16.63 A^3/atom. The total moment comes out at 0.01 μB per cell. The value obtained for the formation energy is 3.2 eV/f.u.



No. 2
A plane-wave DFT calculation with PBE-GGA was carried out for a relaxed structure of ReIr2Pb2.

It has space group I4/mmm (No. 139), with a = 3.512 Å, b = 3.512 Å, c = 16.945 Å, α = 90.00°, β = 90.00° and γ = 90.00°. Symmetry generates all atoms from Re at (0.000, 0.000, 0.000), Ir at (0.000, 0.500, 0.250) and Pb at (0.000, 0.000, 0.402).

The density of states at the Fermi level comes out at 10.09 states/eV/cell. The energy above the most stable polymorph in this dataset is 0.000 eV per atom. The value obtained for the volume is 20.90 A^3/atom. The total moment comes out at 0.00 μB per cell. The value obtained for the formation energy is 5.4 eV/f.u.



What did the second record say?
A plane-wave DFT calculation with PBE-GGA was carried out for a relaxed structure of ReIr2Pb2.

It has space group I4/mmm (No. 139), with a = 3.512 Å, b = 3.512 Å, c = 16.945 Å, α = 90.00°, β = 90.00° and γ = 90.00°. Symmetry generates all atoms from Re at (0.000, 0.000, 0.000), Ir at (0.000, 0.500, 0.250) and Pb at (0.000, 0.000, 0.402).

The density of states at the Fermi level comes out at 10.09 states/eV/cell. The energy above the most stable polymorph in this dataset is 0.000 eV per atom. The value obtained for the volume is 20.90 A^3/atom. The total moment comes out at 0.00 μB per cell. The value obtained for the formation energy is 5.4 eV/f.u.